The following is a DFT calculation (PBE with a Hubbard U) of a relaxed TmMoO4F crystal.

Results
The space-group type is No. 14. As for the energy above the most stable polymorph in this dataset: 0.00 eV per formula unit. Its volume is 392 Å³ per cell. The value obtained for the density is 5.89 g cm⁻³.

a b c (Å): 5.2135 12.3316 6.6527
angles (deg): 90.00 113.53 90.00
With the nearest neighbours (Å) after each atom.
Positions (direct):
Tm 0.1399 0.0504 0.3006  2 F 2.21-2.28, 6 O 2.28-2.39
Tm 0.1399 0.4496 0.8006  2 F 2.21-2.28, 6 O 2.28-2.39
Tm 0.8601 0.5504 0.1994  2 F 2.21-2.28, 6 O 2.28-2.39
Tm 0.8601 0.9496 0.6994  2 F 2.21-2.28, 6 O 2.28-2.39
Mo 0.4185 0.1433 0.8687  4 O 1.76-1.85
Mo 0.4185 0.3567 0.3687  4 O 1.76-1.85
Mo 0.5815 0.6433 0.6313  4 O 1.76-1.85
Mo 0.5815 0.8567 0.1313  4 O 1.76-1.85
O 0.1870 0.0649 0.9629  1 Mo 1.84
O 0.1870 0.4351 0.4629  1 Mo 1.84
O 0.2602 0.6520 0.4032  1 Mo 1.76
O 0.2602 0.8480 0.9032  1 Mo 1.76
O 0.3062 0.2207 0.2959  1 Mo 1.78
O 0.3062 0.2793 0.7959  1 Mo 1.78
O 0.4996 0.0683 0.6611  1 Mo 1.85
O 0.4996 0.4317 0.1611  1 Mo 1.85
O 0.5004 0.5683 0.8389  1 Mo 1.85
O 0.5004 0.9317 0.3389  1 Mo 1.85
O 0.6938 0.7207 0.2041  1 Mo 1.78
O 0.6938 0.7793 0.7041  1 Mo 1.78
O 0.7398 0.1520 0.0968  1 Mo 1.76
O 0.7398 0.3480 0.5968  1 Mo 1.76
O 0.8130 0.5649 0.5371  1 Mo 1.84
O 0.8130 0.9351 0.0371  1 Mo 1.84
F 0.0382 0.5976 0.9613  2 Tm 2.21-2.28
F 0.0382 0.9024 0.4613  2 Tm 2.21-2.28
F 0.9618 0.0976 0.5387  2 Tm 2.21-2.28
F 0.9618 0.4024 0.0387  2 Tm 2.21-2.28